# 1
PBE RbVSe2, relaxed; calculated volume = 255 Å³ per cell; formation energy (no corrections) = -0.94 eV per atom; ρ = 3.84 g/cm3; space-group type = C2/c; VASP energy = -5.20 eV per atom; size of the total moment = 0.1422 μB/atom
1.0
3.787 -6.291 0.000
3.787 6.291 0.000
-2.211 0.000 5.345
Rb V Se
2 2 4
Direct
0.146 0.854 0.750
0.854 0.146 0.250
0.499 0.501 0.250
0.501 0.499 0.750
0.202 0.413 0.901
0.413 0.202 0.401
0.587 0.798 0.599
0.798 0.587 0.099

=====

# 2
PBE Rb3Zr3VSe8, relaxed; calculated volume = 428 Å³ per cell; formation energy (no corrections) = -1.25 eV per atom; ρ = 4.71 g/cm3; space-group type = C2/m; VASP energy = -5.62 eV per atom; size of the total moment = 0.1817 μB/atom
1.0
6.710 -3.868 0.000
6.710 3.868 0.000
-4.479 0.000 8.241
Rb Zr V Se
3 3 1 8
Direct
0.000 0.000 0.000
0.000 0.500 0.000
0.500 0.000 0.000
0.000 0.500 0.500
0.500 0.000 0.500
0.500 0.500 0.500
0.000 0.000 0.500
0.226 0.226 0.686
0.226 0.734 0.686
0.266 0.774 0.314
0.269 0.269 0.306
0.731 0.731 0.694
0.734 0.226 0.686
0.774 0.266 0.314
0.774 0.774 0.314

=====

# 3
PBE RbW3Se6, relaxed; calculated volume = 623 Å³ per cell; formation energy (no corrections) = -0.47 eV per atom; ρ = 5.92 g/cm3; space-group type = P2_1/m; VASP energy = -6.55 eV per atom; size of the total moment = 0.0000 μB/atom
1.0
13.144 0.000 0.000
0.000 3.393 0.000
-0.182 0.000 13.960
Rb W Se
2 6 12
Direct
0.174 0.250 0.088
0.826 0.750 0.912
0.054 0.750 0.622
0.137 0.250 0.765
0.448 0.750 0.932
0.552 0.250 0.068
0.863 0.750 0.235
0.946 0.250 0.378
0.049 0.750 0.285
0.085 0.750 0.896
0.112 0.250 0.490
0.241 0.750 0.671
0.321 0.250 0.872
0.412 0.750 0.107
0.588 0.250 0.893
0.679 0.750 0.128
0.759 0.250 0.329
0.888 0.750 0.510
0.915 0.250 0.104
0.951 0.250 0.715

=====

# 4
PBE Rb3WSe, relaxed; calculated volume = 284 Å³ per cell; formation energy (no corrections) = 0.73 eV per atom; ρ = 3.03 g/cm3; space-group type = Pm-3m; VASP energy = -3.14 eV per atom; polymorph energy (0 for the lowest one) = 0.0 kJ/mol of atoms; size of the total moment = 1.0000 μB/atom
1.0
6.575 0.000 0.000
0.000 6.575 0.000
0.000 0.000 6.575
Rb W Se
3 1 1
Direct
0.000 0.000 0.500
0.000 0.500 0.000
0.500 0.000 0.000
0.500 0.500 0.500
0.000 0.000 0.000

=====

# 5
PBE Rb3WSe4, relaxed; calculated volume = 619 Å³ per cell; formation energy (no corrections) = -0.82 eV per atom; ρ = 4.06 g/cm3; space-group type = Pmn2_1; VASP energy = -4.54 eV per atom; polymorph energy (0 for the lowest one) = 0.0 kJ/mol of atoms; size of the total moment = 0.1275 μB/atom
1.0
13.355 0.000 0.000
0.000 6.851 0.000
0.000 0.000 6.766
Rb W Se
6 2 8
Direct
0.000 0.173 0.000
0.250 0.272 0.554
0.250 0.728 0.054
0.500 0.827 0.500
0.750 0.272 0.554
0.750 0.728 0.054
0.000 0.641 0.436
0.500 0.359 0.936
0.000 0.299 0.498
0.000 0.672 0.085
0.154 0.774 0.557
0.346 0.226 0.057
0.500 0.328 0.585
0.500 0.701 0.998
0.654 0.226 0.057
0.846 0.774 0.557

=====

# 6
PBE Rb3WSe4, relaxed; calculated volume = 316 Å³ per cell; formation energy (no corrections) = -0.77 eV per atom; ρ = 3.97 g/cm3; space-group type = Imm2; VASP energy = -4.50 eV per atom; polymorph energy (0 for the lowest one) = 4.5 kJ/mol of atoms; size of the total moment = 0.1281 μB/atom
1.0
-3.680 5.290 4.061
3.680 -5.290 4.061
3.680 5.290 -4.061
Rb W Se
3 1 4
Direct
0.000 0.000 0.000
0.175 0.419 0.757
0.662 0.419 0.243
0.489 0.989 0.500
0.138 0.827 0.311
0.516 0.827 0.689
0.661 0.419 0.758
0.661 0.903 0.242

=====

# 7
PBE RbW2Se, relaxed; calculated volume = 224 Å³ per cell; formation energy (no corrections) = 1.33 eV per atom; ρ = 7.90 g/cm3; space-group type = I4_1/amd; VASP energy = -6.26 eV per atom; size of the total moment = 0.0000 μB/atom
1.0
-2.455 2.455 9.280
2.455 -2.455 9.280
2.455 2.455 -9.280
Rb W Se
2 4 2
Direct
0.375 0.625 0.750
0.625 0.375 0.250
0.000 0.000 0.000
0.000 0.000 0.500
0.000 0.500 0.000
0.500 0.000 0.500
0.125 0.875 0.250
0.875 0.125 0.750

=====

# 8
PBE Rb3W2Se8, relaxed; calculated volume = 465 Å³ per cell; formation energy (no corrections) = -0.65 eV per atom; ρ = 4.49 g/cm3; space-group type = R-3m; VASP energy = -5.01 eV per atom; size of the total moment = 0.0000 μB/atom
1.0
3.669 2.118 9.965
-3.669 2.118 9.965
0.000 -4.237 9.965
Rb W Se
3 2 8
Direct
0.000 0.000 0.000
0.212 0.212 0.212
0.788 0.788 0.788
0.411 0.411 0.411
0.589 0.589 0.589
0.217 0.734 0.734
0.266 0.266 0.783
0.266 0.783 0.266
0.333 0.333 0.333
0.667 0.667 0.667
0.734 0.217 0.734
0.734 0.734 0.217
0.783 0.266 0.266

=====

# 9
PBE RbW2Se4, relaxed; calculated volume = 177 Å³ per cell; formation energy (no corrections) = -0.63 eV per atom; ρ = 7.22 g/cm3; space-group type = C2/m; VASP energy = -6.46 eV per atom; size of the total moment = 0.0000 μB/atom
1.0
8.672 -1.742 0.000
8.672 1.742 0.000
-1.182 0.000 5.859
Rb W Se
1 2 4
Direct
0.000 0.000 0.000
0.254 0.254 0.317
0.746 0.746 0.683
0.140 0.140 0.525
0.329 0.329 0.964
0.671 0.671 0.036
0.860 0.860 0.475

=====

# 10
PBE Rb2WSe, relaxed; calculated volume = 419 Å³ per cell; formation energy (no corrections) = 0.60 eV per atom; ρ = 3.44 g/cm3; space-group type = I-42d; VASP energy = -3.99 eV per atom; size of the total moment = 0.8561 μB/atom
1.0
-6.582 6.582 2.418
6.582 -6.582 2.418
6.582 6.582 -2.418
Rb W Se
4 2 2
Direct
0.375 0.185 0.310
0.815 0.125 0.190
0.875 0.065 0.690
0.935 0.625 0.810
0.250 0.750 0.500
0.500 0.500 0.000
0.000 0.000 0.000
0.750 0.250 0.500

=====

# 11
PBE RbWSe4, relaxed; calculated volume = 368 Å³ per cell; formation energy (no corrections) = -0.38 eV per atom; ρ = 5.28 g/cm3; space-group type = C2/m; VASP energy = -5.03 eV per atom; size of the total moment = 0.0000 μB/atom
1.0
7.915 -3.882 0.000
7.915 3.882 0.000
-0.982 0.000 5.994
Rb W Se
2 2 8
Direct
0.197 0.197 0.190
0.803 0.803 0.810
0.493 0.493 0.742
0.507 0.507 0.258
0.210 0.609 0.454
0.246 0.754 0.000
0.317 0.317 0.745
0.391 0.790 0.546
0.609 0.210 0.454
0.683 0.683 0.255
0.754 0.246 0.000
0.790 0.391 0.546

=====

# 12
PBE Rb2WSe4, relaxed; calculated volume = 1004 Å³ per cell; formation energy (no corrections) = -0.85 eV per atom; ρ = 4.44 g/cm3; space-group type = Pnma; VASP energy = -4.97 eV per atom; size of the total moment = 0.0000 μB/atom
1.0
10.358 0.000 0.000
0.000 7.391 0.000
0.000 0.000 13.108
Rb W Se
8 4 16
Direct
0.045 0.250 0.159
0.155 0.750 0.389
0.345 0.250 0.889
0.455 0.750 0.659
0.545 0.250 0.341
0.655 0.750 0.111
0.845 0.250 0.611
0.955 0.750 0.841
0.249 0.750 0.071
0.251 0.250 0.571
0.749 0.750 0.429
0.751 0.250 0.929
0.028 0.750 0.112
0.152 0.505 0.641
0.152 0.995 0.641
0.219 0.250 0.394
0.281 0.750 0.894
0.348 0.005 0.141
0.348 0.495 0.141
0.472 0.250 0.612
0.528 0.750 0.388
0.652 0.505 0.859
0.652 0.995 0.859
0.719 0.250 0.106
0.781 0.750 0.606
0.848 0.005 0.359
0.848 0.495 0.359
0.972 0.250 0.888

=====

# 13
PBE RbZnW2Se, relaxed; calculated volume = 124 Å³ per cell; formation energy (no corrections) = 3.47 eV per atom; ρ = 7.99 g/cm3; space-group type = P4/mmm; VASP energy = -2.85 eV per atom; size of the total moment = 0.4701 μB/atom
1.0
4.927 0.000 0.000
0.000 4.927 0.000
0.000 0.000 5.114
Rb Zn W Se
1 1 2 1
Direct
0.000 0.000 0.000
0.000 0.000 0.500
0.000 0.500 0.000
0.500 0.000 0.000
0.500 0.500 0.500

=====

# 14
PBE RbYSe2, relaxed; calculated volume = 125 Å³ per cell; formation energy (no corrections) = -1.73 eV per atom; ρ = 4.40 g/cm3; space-group type = R3m; VASP energy = -5.33 eV per atom; size of the total moment = 0.0000 μB/atom
1.0
2.113 1.220 8.105
-2.113 1.220 8.105
0.000 -2.440 8.105
Rb Y Se
1 1 2
Direct
0.000 0.000 0.000
0.831 0.831 0.831
0.229 0.229 0.229
0.433 0.433 0.433

=====

# 15
PBE RbY2Se3, relaxed; calculated volume = 404 Å³ per cell; formation energy (no corrections) = -1.55 eV per atom; ρ = 4.11 g/cm3; space-group type = Cmcm; VASP energy = -5.61 eV per atom; size of the total moment = 0.0002 μB/atom
1.0
2.267 -7.947 0.000
2.267 7.947 0.000
0.000 0.000 11.218
Rb Y Se
2 4 6
Direct
0.237 0.763 0.750
0.763 0.237 0.250
0.033 0.967 0.250
0.500 0.500 0.000
0.500 0.500 0.500
0.967 0.033 0.750
0.120 0.880 0.043
0.120 0.880 0.457
0.437 0.563 0.250
0.563 0.437 0.750
0.880 0.120 0.543
0.880 0.120 0.957

=====

# 16
PBE RbYSe2, relaxed; calculated volume = 105 Å³ per cell; formation energy (no corrections) = -1.21 eV per atom; ρ = 5.24 g/cm3; space-group type = Fm-3m; VASP energy = -4.81 eV per atom; size of the total moment = 0.0000 μB/atom
1.0
0.000 3.748 3.748
3.748 0.000 3.748
3.748 3.748 0.000
Rb Y Se
1 1 2
Direct
0.000 0.000 0.000
0.500 0.500 0.500
0.250 0.250 0.250
0.750 0.750 0.750

=====

# 17
PBE RbYSe2, relaxed; calculated volume = 321 Å³ per cell; formation energy (no corrections) = -1.55 eV per atom; ρ = 3.44 g/cm3; space-group type = I-42d; VASP energy = -5.15 eV per atom; size of the total moment = 0.0000 μB/atom
1.0
-3.920 3.920 5.216
3.920 -3.920 5.216
3.920 3.920 -5.216
Rb Y Se
2 2 4
Direct
0.000 0.000 0.000
0.750 0.250 0.500
0.250 0.750 0.500
0.500 0.500 0.000
0.198 0.625 0.073
0.375 0.448 0.573
0.552 0.125 0.927
0.875 0.802 0.427

=====

# 18
PBE RbY5Se8, relaxed; calculated volume = 433 Å³ per cell; formation energy (no corrections) = -1.85 eV per atom; ρ = 4.45 g/cm3; space-group type = Cm; VASP energy = -6.22 eV per atom; size of the total moment = 0.0000 μB/atom
1.0
10.660 -2.077 0.000
10.660 2.077 0.000
-2.511 0.000 9.779
Rb Y Se
1 5 8
Direct
0.000 0.000 0.000
0.155 0.155 0.452
0.203 0.203 0.842
0.500 0.500 0.501
0.796 0.796 0.159
0.845 0.845 0.550
0.078 0.078 0.650
0.270 0.270 0.355
0.332 0.332 0.006
0.420 0.420 0.695
0.580 0.580 0.306
0.668 0.668 0.996
0.729 0.729 0.646
0.921 0.921 0.352

=====

# 19
PBE RbYSe4, relaxed; calculated volume = 345 Å³ per cell; formation energy (no corrections) = -1.16 eV per atom; ρ = 4.71 g/cm3; space-group type = P4/nbm; VASP energy = -4.72 eV per atom; size of the total moment = 0.0000 μB/atom
1.0
6.301 0.000 0.000
0.000 6.301 0.000
0.000 0.000 8.702
Rb Y Se
2 2 8
Direct
0.250 0.250 0.000
0.750 0.750 0.000
0.250 0.250 0.500
0.750 0.750 0.500
0.113 0.613 0.302
0.113 0.887 0.698
0.387 0.613 0.698
0.387 0.887 0.302
0.613 0.113 0.698
0.613 0.387 0.302
0.887 0.113 0.302
0.887 0.387 0.698

=====

# 20
PBE RbY4Se6, relaxed; calculated volume = 627 Å³ per cell; formation energy (no corrections) = -1.78 eV per atom; ρ = 4.85 g/cm3; space-group type = Cmcm; VASP energy = -6.12 eV per atom; size of the total moment = 0.0000 μB/atom
1.0
2.075 -6.886 0.000
2.075 6.886 0.000
0.000 0.000 21.925
Rb Y Se
2 8 12
Direct
0.156 0.844 0.750
0.844 0.156 0.250
0.097 0.903 0.132
0.097 0.903 0.368
0.367 0.633 0.040
0.367 0.633 0.460
0.633 0.367 0.540
0.633 0.367 0.960
0.903 0.097 0.632
0.903 0.097 0.868
0.000 0.000 0.000
0.000 0.000 0.500
0.153 0.847 0.250
0.271 0.729 0.580
0.271 0.729 0.920
0.462 0.538 0.151
0.462 0.538 0.349
0.538 0.462 0.651
0.538 0.462 0.849
0.729 0.271 0.080
0.729 0.271 0.420
0.847 0.153 0.750